1.
Computed, not measured: a relaxed structure of K3TlZn at the GGA-PBEsol level of DFT.

Lattice parameters (Å, degrees): 6.636 6.636 6.636 90.00 90.00 90.00
Fractional positions:
K: 0.000 0.000 0.500
K: 0.000 0.500 0.000
K: 0.500 0.000 0.000
Tl: 0.000 0.000 0.000
Zn: 0.500 0.500 0.500

Computed properties:
size of the total moment	0.00	μB per formula unit
volume	58.43	A^3/atom
energy of formation from the pure elements	360	meV/atom
space group	Pm-3m, No. 221

=====

2.
Computed, not measured: a relaxed structure of YBS2 at the GGA-PBEsol level of DFT.

Lattice parameters (Å, degrees): 3.683 3.683 20.682 90.00 90.00 120.00
Fractional positions:
Y: 0.000 0.000 0.000
Y: 0.333 0.667 0.667
Y: 0.667 0.333 0.333
B: 0.000 0.000 0.500
B: 0.333 0.667 0.167
B: 0.667 0.333 0.833
S: 0.000 0.000 0.417
S: 0.000 0.000 0.583
S: 0.333 0.667 0.083
S: 0.333 0.667 0.250
S: 0.667 0.333 0.750
S: 0.667 0.333 0.917

Computed properties:
formation energy without anion corrections	-0.58	eV/atom
size of the total moment	0.00	μB per formula unit
volume	20.25	A^3/atom
space group	R-3m, No. 166

=====

3.
Computed, not measured: a relaxed structure of HfNbMoBr2 at the GGA-PBEsol level of DFT.

Lattice parameters (Å, degrees): 4.817 4.817 4.970 90.00 90.00 90.00
Fractional positions:
Hf: 0.000 0.000 0.000
Nb: 0.500 0.500 0.000
Mo: 0.500 0.500 0.500
Br: 0.000 0.500 0.500
Br: 0.500 0.000 0.500

Computed properties:
formation energy without anion corrections	1.17	eV/atom
size of the total moment	0.00	μB per formula unit
volume	23.06	A^3/atom
space group	P4/mmm, No. 123

=====

4.
Computed, not measured: a relaxed structure of Ag5Pt3 at the GGA-PBEsol level of DFT.

Lattice parameters (Å, degrees): 7.919 8.156 3.919 90.00 90.00 90.00
Fractional positions:
Ag: 0.000 0.000 0.000
Ag: 0.000 0.246 0.500
Ag: 0.000 0.754 0.500
Ag: 0.250 0.250 0.000
Ag: 0.250 0.750 0.000
Ag: 0.500 0.254 0.500
Ag: 0.500 0.500 0.000
Ag: 0.500 0.746 0.500
Ag: 0.750 0.250 0.000
Ag: 0.750 0.750 0.000
Pt: 0.000 0.500 0.000
Pt: 0.242 0.500 0.500
Pt: 0.258 0.000 0.500
Pt: 0.500 0.000 0.000
Pt: 0.742 0.000 0.500
Pt: 0.758 0.500 0.500

Computed properties:
size of the total moment	0.00	μB per formula unit
volume	15.82	A^3/atom
energy of formation from the pure elements	37	meV/atom
space group	Cmmm, No. 65
ΔE to the lowest computed polymorph	50	meV/atom

=====

5.
Computed, not measured: a relaxed structure of Sn2PbAu2 at the GGA-PBEsol level of DFT.

Lattice parameters (Å, degrees): 7.998 7.998 3.573 90.00 90.00 90.00
Fractional positions:
Sn: 0.167 0.333 0.000
Sn: 0.333 0.833 0.000
Sn: 0.667 0.167 0.000
Sn: 0.833 0.667 0.000
Pb: 0.000 0.000 0.500
Pb: 0.500 0.500 0.500
Au: 0.129 0.629 0.500
Au: 0.371 0.129 0.500
Au: 0.629 0.871 0.500
Au: 0.871 0.371 0.500

Computed properties:
size of the total moment	0.00	μB per formula unit
volume	22.86	A^3/atom
energy of formation from the pure elements	-76	meV/atom
space group	P4/mbm, No. 127

=====

6.
Computed, not measured: a relaxed structure of ErScZn2 at the GGA-PBEsol level of DFT.

Lattice parameters (Å, degrees): 6.777 6.777 6.777 90.00 90.00 90.00
Fractional positions:
Er: 0.000 0.000 0.000
Er: 0.000 0.500 0.500
Er: 0.500 0.000 0.500
Er: 0.500 0.500 0.000
Sc: 0.000 0.000 0.500
Sc: 0.000 0.500 0.000
Sc: 0.500 0.000 0.000
Sc: 0.500 0.500 0.500
Zn: 0.250 0.250 0.250
Zn: 0.250 0.250 0.750
Zn: 0.250 0.750 0.250
Zn: 0.250 0.750 0.750
Zn: 0.750 0.250 0.250
Zn: 0.750 0.250 0.750
Zn: 0.750 0.750 0.250
Zn: 0.750 0.750 0.750

Computed properties:
size of the total moment	0.00	μB per formula unit
volume	19.45	A^3/atom
energy of formation from the pure elements	-360	meV/atom
space group	Fm-3m, No. 225

=====

7.
Computed, not measured: a relaxed structure of MgZrP2H8O12 at the GGA-PBEsol level of DFT.

Lattice parameters (Å, degrees): 5.265 9.364 9.628 95.99 92.12 90.89
Fractional positions:
Mg: 0.000 0.000 0.000
Mg: 0.500 0.500 0.000
Zr: 0.239 0.753 0.514
Zr: 0.761 0.247 0.486
P: 0.228 0.051 0.320
P: 0.284 0.434 0.676
P: 0.716 0.566 0.324
P: 0.772 0.949 0.680
H: 0.043 0.592 0.125
H: 0.089 0.778 0.832
H: 0.177 0.739 0.989
H: 0.260 0.186 0.838
H: 0.302 0.655 0.200
H: 0.365 0.238 0.053
H: 0.457 0.064 0.873
H: 0.466 0.327 0.196
H: 0.534 0.673 0.804
H: 0.543 0.936 0.127
H: 0.635 0.762 0.947
H: 0.698 0.345 0.800
H: 0.740 0.814 0.162
H: 0.823 0.261 0.011
H: 0.911 0.222 0.168
H: 0.957 0.408 0.875
O: 0.006 0.157 0.339
O: 0.053 0.367 0.590
O: 0.158 0.816 0.925
O: 0.170 0.916 0.393
O: 0.222 0.626 0.106
O: 0.245 0.430 0.834
O: 0.265 0.008 0.164
O: 0.294 0.114 0.902
O: 0.327 0.591 0.644
O: 0.372 0.335 0.107
O: 0.469 0.128 0.388
O: 0.476 0.655 0.360
O: 0.524 0.345 0.640
O: 0.531 0.872 0.612
O: 0.628 0.665 0.893
O: 0.673 0.409 0.356
O: 0.706 0.886 0.098
O: 0.735 0.992 0.836
O: 0.755 0.570 0.166
O: 0.778 0.374 0.894
O: 0.830 0.084 0.607
O: 0.842 0.184 0.075
O: 0.947 0.633 0.410
O: 0.994 0.843 0.661

Computed properties:
final energy	-315.3	eV/cell
size of the total moment	0.00	μB per formula unit
volume	9.83	A^3/atom
space group	P-1, No. 2

=====

8.
Computed, not measured: a relaxed structure of LaZnSe at the GGA-PBEsol level of DFT.

Lattice parameters (Å, degrees): 3.663 3.663 10.074 90.00 90.00 90.00
Fractional positions:
La: 0.000 0.000 0.000
La: 0.500 0.500 0.500
Zn: 0.000 0.000 0.316
Zn: 0.500 0.500 0.816
Se: 0.000 0.000 0.678
Se: 0.500 0.500 0.178

Computed properties:
formation energy without anion corrections	-0.83	eV/atom
size of the total moment	0.00	μB per formula unit
volume	22.53	A^3/atom
space group	I4mm, No. 107
ΔE to the lowest computed polymorph	0	meV/atom

=====

9.
Computed, not measured: a relaxed structure of PrSiNi at the GGA-PBEsol level of DFT.

Lattice parameters (Å, degrees): 4.097 4.097 13.696 90.00 90.00 90.00
Fractional positions:
Pr: 0.000 0.000 0.000
Pr: 0.000 0.500 0.250
Pr: 0.500 0.000 0.750
Pr: 0.500 0.500 0.500
Si: 0.000 0.000 0.581
Si: 0.000 0.500 0.831
Si: 0.500 0.000 0.331
Si: 0.500 0.500 0.081
Ni: 0.000 0.000 0.411
Ni: 0.000 0.500 0.661
Ni: 0.500 0.000 0.161
Ni: 0.500 0.500 0.911

Computed properties:
formation energy without anion corrections	-0.73	eV/atom
size of the total moment	0.00	μB per formula unit
volume	19.16	A^3/atom
space group	I4_1md, No. 109

=====

10.
Computed, not measured: a relaxed structure of BePbSeN2 at the GGA-PBEsol level of DFT.

Lattice parameters (Å, degrees): 3.922 3.922 4.737 90.00 90.00 90.00
Fractional positions:
Be: 0.000 0.000 0.000
Pb: 0.500 0.500 0.500
Se: 0.000 0.000 0.500
N: 0.000 0.500 0.000
N: 0.500 0.000 0.000

Computed properties:
formation energy without anion corrections	1.06	eV/atom
size of the total moment	3.25	μB per formula unit
volume	14.57	A^3/atom
space group	P4/mmm, No. 123

=====

11.
Computed, not measured: a relaxed structure of BaSi2W at the GGA-PBEsol level of DFT.

Lattice parameters (Å, degrees): 3.574 3.532 13.721 90.00 90.00 90.00
Fractional positions:
Ba: 0.000 0.000 0.000
Ba: 0.000 0.500 0.500
Si: 0.000 0.000 0.241
Si: 0.000 0.500 0.741
Si: 0.500 0.000 0.357
Si: 0.500 0.500 0.857
W: 0.500 0.000 0.718
W: 0.500 0.500 0.218

Computed properties:
formation energy without anion corrections	0.13	eV/atom
size of the total moment	0.00	μB per formula unit
volume	21.65	A^3/atom
space group	Amm2, No. 38
ΔE to the lowest computed polymorph	0	meV/atom

=====

12.
Computed, not measured: a relaxed structure of SrY2P at the GGA-PBEsol level of DFT.

Lattice parameters (Å, degrees): 6.560 10.735 3.524 90.00 120.17 90.00
Fractional positions:
Sr: 0.000 0.000 0.000
Sr: 0.500 0.500 0.000
Y: 0.250 0.250 0.500
Y: 0.250 0.750 0.500
Y: 0.750 0.250 0.500
Y: 0.750 0.750 0.500
P: 0.000 0.500 0.000
P: 0.500 0.000 0.000

Computed properties:
size of the total moment	0.00	μB per formula unit
volume	26.82	A^3/atom
energy of formation from the pure elements	-59	meV/atom
space group	C2/m, No. 12

=====

13.
Computed, not measured: a relaxed structure of BaTl2Cd at the GGA-PBEsol level of DFT.

Lattice parameters (Å, degrees): 5.499 5.512 7.814 90.00 90.00 90.00
Fractional positions:
Ba: 0.000 0.000 0.000
Ba: 0.500 0.500 0.500
Tl: 0.000 0.000 0.500
Tl: 0.000 0.500 0.750
Tl: 0.500 0.000 0.250
Tl: 0.500 0.500 0.000
Cd: 0.000 0.500 0.250
Cd: 0.500 0.000 0.750

Computed properties:
size of the total moment	0.00	μB per formula unit
volume	29.61	A^3/atom
energy of formation from the pure elements	-268	meV/atom
space group	Imm2, No. 44

=====

14.
Computed, not measured: a relaxed structure of MgBe2Ir at the GGA-PBEsol level of DFT.

Lattice parameters (Å, degrees): 2.902 2.902 5.910 90.00 90.00 90.00
Fractional positions:
Mg: 0.000 0.000 0.000
Be: 0.000 0.000 0.512
Be: 0.500 0.500 0.313
Ir: 0.500 0.500 0.693

Computed properties:
size of the total moment	0.00	μB per formula unit
volume	12.44	A^3/atom
energy of formation from the pure elements	-172	meV/atom
space group	P4mm, No. 99

=====

15.
Computed, not measured: a relaxed structure of K3LuF6 at the GGA-PBEsol level of DFT.

Lattice parameters (Å, degrees): 6.446 6.446 6.446 60.00 60.00 60.00
Fractional positions:
K: 0.000 0.000 0.000
K: 0.250 0.250 0.250
K: 0.750 0.750 0.750
Lu: 0.500 0.500 0.500
F: 0.271 0.271 0.729
F: 0.271 0.729 0.271
F: 0.271 0.729 0.729
F: 0.729 0.271 0.271
F: 0.729 0.271 0.729
F: 0.729 0.729 0.271

Computed properties:
formation energy without anion corrections	-3.33	eV/atom
size of the total moment	0.09	μB per formula unit
volume	18.94	A^3/atom
space group	Fm-3m, No. 225

=====

16.
Computed, not measured: a relaxed structure of Li24Au5 at the GGA-PBEsol level of DFT.

Lattice parameters (Å, degrees): 8.370 8.370 8.370 109.47 109.47 109.47
Fractional positions:
Li: 0.000 0.184 0.357
Li: 0.000 0.357 0.184
Li: 0.000 0.405 0.695
Li: 0.000 0.695 0.405
Li: 0.173 0.816 0.816
Li: 0.184 0.000 0.357
Li: 0.184 0.357 0.000
Li: 0.290 0.595 0.595
Li: 0.305 0.305 0.710
Li: 0.305 0.710 0.305
Li: 0.357 0.000 0.184
Li: 0.357 0.184 0.000
Li: 0.405 0.000 0.695
Li: 0.405 0.695 0.000
Li: 0.595 0.290 0.595
Li: 0.595 0.595 0.290
Li: 0.643 0.643 0.827
Li: 0.643 0.827 0.643
Li: 0.695 0.000 0.405
Li: 0.695 0.405 0.000
Li: 0.710 0.305 0.305
Li: 0.816 0.173 0.816
Li: 0.816 0.816 0.173
Li: 0.827 0.643 0.643
Au: 0.000 0.000 0.000
Au: 0.000 0.000 0.633
Au: 0.000 0.633 0.000
Au: 0.367 0.367 0.367
Au: 0.633 0.000 0.000

Computed properties:
size of the total moment	0.00	μB per formula unit
volume	15.56	A^3/atom
energy of formation from the pure elements	-181	meV/atom
space group	I-43m, No. 217

=====

17.
Computed, not measured: a relaxed structure of AlCrAs2Se at the GGA-PBEsol level of DFT.

Lattice parameters (Å, degrees): 4.448 4.448 5.274 90.00 90.00 90.00
Fractional positions:
Al: 0.000 0.000 0.000
Cr: 0.500 0.500 0.500
As: 0.000 0.500 0.500
As: 0.500 0.000 0.500
Se: 0.500 0.500 0.000

Computed properties:
formation energy without anion corrections	0.36	eV/atom
size of the total moment	0.75	μB per formula unit
volume	20.87	A^3/atom
space group	P4/mmm, No. 123

=====

18.
Computed, not measured: a relaxed structure of ReGe3B at the GGA-PBEsol level of DFT.

Lattice parameters (Å, degrees): 4.760 4.760 4.760 90.00 90.00 90.00
Fractional positions:
Re: 0.000 0.000 0.000
Ge: 0.000 0.000 0.500
Ge: 0.000 0.500 0.000
Ge: 0.500 0.000 0.000
B: 0.500 0.500 0.500

Computed properties:
size of the total moment	0.60	μB per formula unit
volume	21.57	A^3/atom
energy of formation from the pure elements	1268	meV/atom
space group	Pm-3m, No. 221

=====

19.
Computed, not measured: a relaxed structure of P2Rh at the GGA-PBEsol level of DFT.

Lattice parameters (Å, degrees): 4.121 4.121 5.590 90.00 90.00 120.00
Fractional positions:
P: 0.333 0.667 0.052
P: 0.333 0.667 0.448
P: 0.667 0.333 0.552
P: 0.667 0.333 0.948
Rh: 0.000 0.000 0.250
Rh: 0.000 0.000 0.750

Computed properties:
size of the total moment	0.00	μB per formula unit
volume	13.70	A^3/atom
energy of formation from the pure elements	213	meV/atom
space group	P6_3/mmc, No. 194

=====

20.
Computed, not measured: a relaxed structure of Cu2SiGe at the GGA-PBEsol level of DFT.

Lattice parameters (Å, degrees): 6.043 6.043 6.043 90.00 90.00 90.00
Fractional positions:
Cu: 0.250 0.250 0.250
Cu: 0.250 0.250 0.750
Cu: 0.250 0.750 0.250
Cu: 0.250 0.750 0.750
Cu: 0.750 0.250 0.250
Cu: 0.750 0.250 0.750
Cu: 0.750 0.750 0.250
Cu: 0.750 0.750 0.750
Si: 0.000 0.000 0.000
Si: 0.000 0.500 0.500
Si: 0.500 0.000 0.500
Si: 0.500 0.500 0.000
Ge: 0.000 0.000 0.500
Ge: 0.000 0.500 0.000
Ge: 0.500 0.000 0.000
Ge: 0.500 0.500 0.500

Computed properties:
formation energy without anion corrections	0.24	eV/atom
size of the total moment	0.00	μB per formula unit
volume	13.79	A^3/atom
space group	Fm-3m, No. 225